[1]
Below is CoMoW after structural relaxation, with properties calculated at the PBE level.

```
CoMoW
1.0
4.3738 0.0000 0.0000
-2.1869 3.7878 0.0000
0.0000 0.0000 2.6485
Mo W Co
1 1 1
Cartesian
2.1869 1.2626 0.8939
0.0000 2.5252 1.7760
0.0000 0.0000 2.6271
```

## Properties
Energy of formation: 223 meV/atom
SG: P3m1, No. 156
Total moment: 2.13 μB/cell
Mass density: 12.8 g/cm³
Energy relative to the lowest polymorph listed for this composition: 217.1 meV per atom

[2]
Below is KPr2PdO4 after structural relaxation, with properties calculated at the PBE level.

```
KPr2PdO4
1.0
-1.5538 2.4093 -2.1304
-3.4811 -5.3494 -0.5165
-7.3620 3.8518 9.7255
K Pr O Pd
2 4 8 2
Cartesian
-5.9498 -1.0762 0.1283
-6.4472 1.9878 6.9502
-2.3296 0.3316 -0.9201
-5.1575 1.8112 2.8157
-10.0674 0.5800 7.9986
-7.2395 -0.8996 4.2628
-7.2074 1.4954 3.9537
-5.1896 -0.5838 3.1248
-9.4970 2.6933 6.9783
-3.6810 1.9259 4.8627
0.0000 0.0000 0.0000
-3.1316 1.6671 1.1752
-2.9000 -1.7817 0.1003
-9.2654 -0.7554 5.9034
-9.2226 1.2472 5.1427
-3.1744 -0.3355 1.9359
```

## Properties
SG: Cmcm, No. 63
Total moment: 0.00 μB/cell
Mass density: 5.8 g/cm³
ΔE_f (raw): -2151 meV per atom

[3]
Below is La6Ge2CBr3 after structural relaxation, with properties calculated at the PBE level.

```
La6Ge2CBr3
1.0
-6.1083 -2.8375 2.9372
6.0011 0.8596 4.1518
-2.2601 7.5566 -0.4690
La Ge C Br
6 2 1 3
Cartesian
-1.8227 5.5463 1.2895
-3.7239 3.9202 4.9771
1.3566 1.6585 1.6430
-2.3193 0.5362 1.2743
-0.0479 5.0426 5.3458
-0.5446 0.0325 5.3305
1.9574 -0.3749 3.7462
-2.0647 -1.6029 3.3428
0.0000 0.0000 0.0000
-5.1343 1.5832 2.9137
-1.1836 2.7894 3.3100
2.7670 3.9956 3.7063
```

## Properties
SG: C2/m, No. 12
Total moment: 0.00 μB/cell
Mass density: 5.8 g/cm³
ΔE_f (raw): -1094 meV per atom

[4]
Below is Y2Ga8Ru after structural relaxation, with properties calculated at the PBE level.

```
Y2Ga8Ru
1.0
4.2906 0.0000 0.0000
0.0000 4.2906 0.0000
0.0000 0.0000 11.2908
Ga Y Ru
8 2 1
Cartesian
2.1453 2.1453 3.4860
2.1453 0.0000 9.9267
2.1453 0.0000 1.3642
0.0000 2.1453 5.6454
2.1453 0.0000 5.6454
2.1453 2.1453 7.8048
0.0000 2.1453 9.9267
0.0000 2.1453 1.3642
0.0000 0.0000 3.4791
0.0000 0.0000 7.8117
0.0000 0.0000 0.0000
```

## Properties
Energy of formation: -501 meV/atom
SG: P4/mmm, No. 123
Total moment: 0.00 μB/cell
Mass density: 6.7 g/cm³